A plane-wave DFT calculation with PBE-GGA was carried out for an optimized crystal structure of MnZn2P.

abc: 8.593 8.593 8.593
angles: 19.10 19.10 19.10
Fractional positions:
Zn  0.749  0.749  0.749
Zn  0.251  0.251  0.251
P  0.500  0.500  0.500
Mn  0.000  0.000  0.000

Results
Total magnetization (μB per cell): 3.27
ΔH_f (0 K) (eV per atom): 0.26